12
Lattice="2.585 -4.487 0.000 2.585 4.487 0.000 -1.702 0.000 4.812" Properties=species:S:1:pos:R:3 comment="Li4HfGaO6, optimized geometry, DFT GGA-PBE" dft_energy_ev_per_fu=-76.76 pbc="T T T"
Li 0.000 0.000 0.000
Li 2.585 1.226 0.000
Li 2.585 -1.698 0.000
Li 1.734 -3.130 2.406
Hf 1.734 2.845 2.406
Ga 1.734 -0.139 2.406
O 0.938 1.319 1.253
O 0.087 -0.180 3.540
O 0.873 -1.549 1.258
O 2.530 1.319 3.559
O 3.382 -0.180 1.272
O 2.596 -1.549 3.554

---

8
Lattice="4.347 0.000 0.000 0.000 4.347 0.000 0.000 0.000 15.115" Properties=species:S:1:pos:R:3 comment="Pm2Pr3Ag3, optimized geometry, DFT GGA-PBE" e_form_ev_per_fu=4.08 pbc="T T T"
Pm 0.000 2.174 2.896
Pm 2.174 0.000 12.220
Pr 0.000 0.000 0.000
Pr 2.174 2.174 0.000
Pr 2.174 2.174 7.558
Ag 0.000 0.000 4.942
Ag 0.000 0.000 7.558
Ag 0.000 0.000 10.174

---

28
Lattice="7.115 0.000 0.000 0.000 6.868 0.000 -6.892 0.000 12.471" Properties=species:S:1:pos:R:3 comment="Na3FeS3, optimized geometry, DFT GGA-PBE" dft_energy_ev_per_fu=-30.66 pbc="T T T"
Na -1.868 0.089 3.514
Na -5.314 3.345 9.749
Na -1.378 0.091 7.427
Na 2.067 3.343 1.192
Na -0.987 3.533 7.669
Na 2.459 6.769 1.434
Na -2.236 0.099 11.037
Na 1.210 3.335 4.801
Na -1.844 3.525 11.279
Na 1.602 6.777 5.043
Na 5.538 3.524 2.722
Na 2.092 6.779 8.957
Fe -2.929 4.302 5.312
Fe -6.375 6.001 11.547
Fe 6.598 0.867 0.924
Fe 3.153 2.567 7.159
S -6.299 1.390 11.520
S -2.853 2.044 5.285
S 0.564 1.534 2.773
S -2.882 1.900 9.009
S -0.847 5.118 5.343
S -4.293 5.185 11.579
S 4.516 1.684 0.892
S 1.070 1.750 7.127
S 3.105 4.968 3.462
S -0.341 5.334 9.697
S 3.076 4.825 7.186
S 6.522 5.478 0.950

---

12
Lattice="1.990 -7.020 0.000 1.990 7.020 0.000 0.000 0.000 10.788" Properties=species:S:1:pos:R:3 comment="NdTlNiS3, optimized geometry, DFT GGA-PBE" dft_energy_ev_per_fu=-30.87 pbc="T T T"
Nd 0.000 0.000 0.000
Nd 0.000 0.000 5.394
Tl 1.990 3.486 8.091
Tl 1.990 -3.486 2.697
Ni 1.990 0.355 2.697
Ni 1.990 -0.355 8.091
S 1.990 6.187 2.697
S 1.990 1.758 0.922
S 1.990 1.758 4.471
S 1.990 -1.758 6.316
S 1.990 -1.758 9.865
S 1.990 -6.187 8.091